# 1
Below is crystalline SbAsW2 at its relaxed geometry, with properties calculated at the PBE level.

The crystal system is monoclinic. The value obtained for the calculated volume is 71 Å³/f.u. The uncorrected formation energy comes out at 0.3580 eV/atom.

Cell and atoms, written as POSCAR:
```
SbAsW2
1.0
4.531 -1.653 0.000
4.531 1.653 0.000
-1.396 0.000 4.750
Sb As W
1 1 2
Direct
0.000 0.000 0.000
0.236 0.236 0.621
0.502 0.502 0.521
0.751 0.751 0.208
```



# 2
Below is crystalline Sb2AsW at its relaxed geometry, with properties calculated at the PBE level.

The crystal system is monoclinic. The value obtained for the calculated volume is 96 Å³/f.u. The uncorrected formation energy comes out at 0.1953 eV/atom.

Cell and atoms, written as POSCAR:
```
Sb2AsW
1.0
4.428 -1.708 0.000
4.428 1.708 0.000
-2.133 0.000 6.346
Sb As W
2 1 1
Direct
0.000 0.000 0.000
0.190 0.190 0.697
0.861 0.861 0.355
0.571 0.571 0.348
```



# 3
Below is crystalline Sb2AsW at its relaxed geometry, with properties calculated at the PBE level.

The crystal system is monoclinic. The value obtained for the calculated volume is 85 Å³/f.u. The uncorrected formation energy comes out at 0.4472 eV/atom.

Cell and atoms, written as POSCAR:
```
Sb2AsW
1.0
3.711 0.000 0.000
0.000 4.567 0.000
-1.764 0.000 5.031
Sb As W
2 1 1
Direct
0.000 0.000 0.000
0.303 0.500 0.614
0.707 0.000 0.448
0.598 0.500 0.182
```



no.,magnetic moment (Bohr magnetons per cell),uncorrected energy (eV/atom)
1,0.00,-8.312
2,0.00,-6.267
3,0.00,-6.015